Record 1
Cd3GaHg2 (PBE-GGA, relaxed); VASP energy = -1.0257 eV per atom; space group = C2/c (15); total moment = 0.00 μB/atom; calculated formation energy = 0.22 eV per formula unit
1.0
5.649 -0.479 -0.341
0.077 7.566 0.654
0.077 3.089 6.937
Cd Ga Hg
6 2 4
direct
0.250 0.341 0.659
0.750 0.659 0.341
0.048 0.912 0.718
0.452 0.282 0.088
0.548 0.718 0.912
0.952 0.088 0.282
0.750 0.053 0.947
0.250 0.947 0.053
0.627 0.200 0.511
0.127 0.511 0.200
0.873 0.489 0.800
0.373 0.800 0.489

Record 2
Cr2PRu (PBE-GGA, relaxed); VASP energy = -8.4109 eV per atom; space group = R3m (160); total moment = 0.00 μB/atom; calculated formation energy = 0.29 eV per formula unit
1.0
7.742 -0.027 -0.016
7.260 2.691 -0.016
7.260 1.289 2.362
Cr P Ru
2 1 1
direct
0.995 0.995 0.995
0.249 0.249 0.249
0.504 0.504 0.504
0.753 0.753 0.753

Record 3
K4ZnPd3O8 (PBE-GGA, relaxed); VASP energy = -4.7343 eV per atom; space group = C2/m (12); total moment = 0.00 μB/atom; raw formation energy = -0.928 eV/atom
1.0
6.309 0.000 0.000
0.000 6.769 0.157
-3.155 -3.279 5.240
K Zn Pd O
4 1 3 8
direct
0.500 0.000 0.000
0.500 0.000 0.500
0.000 0.000 0.000
0.000 0.000 0.500
0.000 0.500 0.000
0.500 0.500 0.000
0.500 0.500 0.500
0.000 0.500 0.500
0.202 0.633 0.894
0.252 0.699 0.503
0.232 0.290 0.463
0.692 0.633 0.894
0.308 0.367 0.106
0.768 0.710 0.537
0.748 0.301 0.497
0.798 0.367 0.106

Copy entry 3 word for word.
K4ZnPd3O8 (PBE-GGA, relaxed); VASP energy = -4.7343 eV per atom; space group = C2/m (12); total moment = 0.00 μB/atom; raw formation energy = -0.928 eV/atom
1.0
6.309 0.000 0.000
0.000 6.769 0.157
-3.155 -3.279 5.240
K Zn Pd O
4 1 3 8
direct
0.500 0.000 0.000
0.500 0.000 0.500
0.000 0.000 0.000
0.000 0.000 0.500
0.000 0.500 0.000
0.500 0.500 0.000
0.500 0.500 0.500
0.000 0.500 0.500
0.202 0.633 0.894
0.252 0.699 0.503
0.232 0.290 0.463
0.692 0.633 0.894
0.308 0.367 0.106
0.768 0.710 0.537
0.748 0.301 0.497
0.798 0.367 0.106

Copy entry 3 word for word.
K4ZnPd3O8 (PBE-GGA, relaxed); VASP energy = -4.7343 eV per atom; space group = C2/m (12); total moment = 0.00 μB/atom; raw formation energy = -0.928 eV/atom
1.0
6.309 0.000 0.000
0.000 6.769 0.157
-3.155 -3.279 5.240
K Zn Pd O
4 1 3 8
direct
0.500 0.000 0.000
0.500 0.000 0.500
0.000 0.000 0.000
0.000 0.000 0.500
0.000 0.500 0.000
0.500 0.500 0.000
0.500 0.500 0.500
0.000 0.500 0.500
0.202 0.633 0.894
0.252 0.699 0.503
0.232 0.290 0.463
0.692 0.633 0.894
0.308 0.367 0.106
0.768 0.710 0.537
0.748 0.301 0.497
0.798 0.367 0.106

- What is the VASP energy in the second record?
  -8.4109 eV per atom